(1)
DFT (GGA-PBEsol) results for a relaxed structure of LiW2Cl.

Structure (POSCAR):
```
LiW2Cl
1.0
4.391 0.000 0.000
2.196 3.803 0.000
2.196 1.268 3.585
Li Cl W
1 1 2
Cartesian
2.196 1.268 0.896
4.391 2.535 1.793
6.587 3.803 2.689
0.000 0.000 0.000
```

## Properties
Its symmetry is F-43m (216). The energy above the lowest structure with this stoichiometry comes out at 62 meV per atom. For the calculated volume, the calculation gives 14.97 Å³ per atom.

(2)
DFT (GGA-PBEsol) results for a relaxed structure of Li2Cr3Fe2O12.

Structure (POSCAR):
```
Li2Cr3Fe2O12
1.0
8.934 0.000 0.000
0.000 8.952 0.000
0.000 0.000 12.414
O Fe Li Cr
48 8 8 12
Cartesian
6.923 1.505 10.255
1.169 0.611 5.388
0.930 5.217 8.157
4.659 7.380 2.842
2.012 7.446 2.159
5.636 3.865 0.819
7.765 8.341 7.025
5.005 5.847 6.468
6.479 1.505 2.159
3.298 5.087 11.595
2.455 2.970 8.365
1.169 5.087 0.819
3.298 0.611 7.025
7.765 3.865 11.595
8.743 2.904 9.049
3.025 7.625 5.109
8.004 3.734 4.256
7.492 1.326 5.109
3.025 3.149 1.098
0.538 3.104 6.468
2.012 2.970 4.048
8.743 7.380 9.572
5.397 8.210 10.463
5.397 3.734 8.157
6.479 5.981 4.048
3.930 7.580 0.261
0.930 0.741 10.463
1.442 7.625 7.304
0.538 7.580 12.153
7.492 5.802 1.098
4.275 1.572 9.572
3.537 0.741 1.951
6.923 5.981 8.365
4.275 6.048 9.049
8.004 8.210 1.951
5.909 1.326 7.304
5.909 5.802 11.316
1.442 3.149 11.316
5.636 8.341 5.388
2.455 7.446 10.255
5.005 1.371 12.153
0.192 6.048 3.365
4.659 2.904 3.365
8.397 1.371 0.261
3.537 5.217 4.256
8.397 5.847 5.946
3.930 3.104 5.946
0.192 1.572 2.842
0.287 6.696 1.451
4.180 6.696 10.963
4.755 6.732 4.756
0.287 2.220 4.756
8.647 6.732 7.657
4.755 2.256 1.451
4.180 2.220 7.657
8.647 2.256 10.963
6.906 2.512 8.540
2.028 1.964 2.333
6.906 6.988 10.081
2.439 6.440 8.540
2.439 1.964 10.081
6.495 2.512 3.874
2.028 6.440 3.874
6.495 6.988 2.333
6.701 4.809 0.000
2.234 8.619 6.207
5.404 0.926 10.623
0.937 3.550 7.998
5.404 5.402 7.998
3.530 3.550 4.416
3.530 8.026 1.791
7.998 5.402 4.416
0.937 8.026 10.623
2.234 4.143 0.000
6.701 0.333 6.207
7.998 0.926 1.791
```

## Properties
As for the calculated total energy: -593.12 eV/cell. Its symmetry is Pbcn (60). For the calculated volume, the calculation gives 13.06 Å³ per atom.

(3)
DFT (GGA-PBEsol) results for a relaxed structure of In3RhCl.

Structure (POSCAR):
```
In3RhCl
1.0
-1.783 2.798 -3.843
2.539 -2.910 -3.296
-4.019 -3.080 -0.377
Rh In Cl
1 3 1
Cartesian
0.000 0.000 0.000
1.270 -1.455 -1.648
-0.892 1.399 -1.922
-2.009 -1.540 -0.189
-1.632 -1.596 -3.758
```

## Properties
As for the calculated total energy: -21.23 eV/cell. Its symmetry is Pm-3m (221). For the calculated volume, the calculation gives 26.18 Å³ per atom.

(4)
DFT (GGA-PBEsol) results for a relaxed structure of Ca4Cd.

Structure (POSCAR):
```
Ca4Cd
1.0
-0.732 -1.058 -3.602
-6.402 -2.892 0.121
-3.123 5.523 -3.018
Ca Cd
4 1
Cartesian
-7.310 1.736 -5.115
-2.947 -0.163 -1.384
-6.539 -0.911 -2.464
-3.718 2.484 -4.035
0.000 0.000 0.000
```

## Properties
Its energy relative to the elements is -137 meV/atom. Its symmetry is I4/m (87). For the calculated volume, the calculation gives 34.96 Å³ per atom.